4
Lattice="1.466 0.847 11.544 -1.466 0.847 11.544 0.000 -1.693 11.544" Properties=species:S:1:pos:R:3 comment="LiSe2Br meta-GGA SCAN PBEsol geometry" space_group="R-3m, No. 166" polymorph_energy_mev_per_atom=556 e_tot_ev_per_atom=-15.633 formation_energy_uncorrected_ev_per_atom=-0.13 pbc="T T T"
Li 0.000 0.000 0.000
Se 0.000 0.000 9.495
Se 0.000 0.000 25.138
Br 0.000 0.000 17.316